{
  "formula": "Er8TmSc6",
  "functional": "PBE",
  "state": "optimized geometry",
  "lattice": [[4.655, 2.687, 5.708], [-4.655, 2.687, 5.708], [0.000, -5.375, 5.708]],
  "species": ["Er", "Er", "Er", "Er", "Er", "Er", "Er", "Er", "Tm", "Sc", "Sc", "Sc", "Sc", "Sc", "Sc"],
  "frac_coords": [[0.091, 0.091, 0.091], [0.138, 0.272, 0.567], [0.272, 0.567, 0.138], [0.433, 0.862, 0.728], [0.567, 0.138, 0.272], [0.728, 0.433, 0.862], [0.862, 0.728, 0.433], [0.909, 0.909, 0.909], [0.500, 0.500, 0.500], [0.114, 0.556, 0.790], [0.210, 0.886, 0.444], [0.444, 0.210, 0.886], [0.556, 0.790, 0.114], [0.790, 0.114, 0.556], [0.886, 0.444, 0.210]],
  "formation_enthalpy_0k_ev_per_atom": 0.191,
  "sg": "R-3, No. 148",
  "density_g_cm3": 6.89,
  "dft_energy_ev_per_atom": -5.074
}

{
  "formula": "Er3Tm4Sc5",
  "functional": "PBE",
  "state": "optimized geometry",
  "lattice": [[7.624, -2.812, 0.000], [7.624, 2.812, 0.000], [-4.554, 0.000, 7.968]],
  "species": ["Er", "Er", "Er", "Tm", "Tm", "Tm", "Tm", "Sc", "Sc", "Sc", "Sc", "Sc"],
  "frac_coords": [[0.000, 0.000, 0.000], [0.272, 0.272, 0.740], [0.728, 0.728, 0.260], [0.292, 0.292, 0.119], [0.415, 0.415, 0.559], [0.585, 0.585, 0.441], [0.708, 0.708, 0.881], [0.062, 0.062, 0.702], [0.168, 0.168, 0.362], [0.500, 0.500, 0.000], [0.832, 0.832, 0.638], [0.938, 0.938, 0.298]],
  "formation_enthalpy_0k_ev_per_atom": 0.253,
  "sg": "C2/m, No. 12",
  "density_g_cm3": 6.82,
  "dft_energy_ev_per_atom": -5.017
}